Entry 1:
A plane-wave DFT calculation with GGA-PBE was carried out for a relaxed K2Be2Zn2Si3O11 crystal.

Lattice parameters (Å, degrees): 6.755 9.494 9.494 103.21 110.84 110.84
Element x y z (fractional)
O1 0.135 0.514 0.355
O2 0.994 0.267 0.721
O3 0.365 0.145 0.986
O4 0.006 0.733 0.279
O5 0.734 0.514 0.355
O6 0.389 0.354 0.424
O7 0.234 0.855 0.014
O8 0.450 0.090 0.410
O9 0.494 0.221 0.767
O10 0.635 0.855 0.014
O11 0.950 0.910 0.590
O12 0.750 0.426 0.074
O13 0.050 0.090 0.410
O14 0.506 0.779 0.233
O15 0.889 0.924 0.854
O16 0.250 0.574 0.926
O17 0.111 0.076 0.146
O18 0.766 0.145 0.986
O19 0.266 0.486 0.645
O20 0.865 0.486 0.645
O21 0.611 0.646 0.576
O22 0.550 0.910 0.590
Si1 0.250 0.153 0.347
Si2 0.750 0.847 0.653
Si3 0.591 0.226 0.956
Si4 0.091 0.456 0.726
Si5 0.409 0.774 0.044
Si6 0.909 0.544 0.274
Zn1 0.651 0.151 0.651
Zn2 0.349 0.849 0.349
Zn3 0.849 0.849 0.349
Zn4 0.151 0.151 0.651
K1 0.750 0.611 0.889
K2 0.250 0.389 0.111
K3 0.750 0.200 0.300
K4 0.250 0.800 0.700
Be1 0.674 0.500 0.500
Be2 0.326 0.500 0.500
Be3 0.174 0.000 0.000
Be4 0.826 0.000 0.000

Computed properties:
**DFT total energy**: -6.574 eV per atom
**Crystal system**: orthorhombic
**Calculated density**: 3.33 g cm⁻³



Entry 2:
A plane-wave DFT calculation with GGA-PBE was carried out for a relaxed KBeOs crystal.

Lattice parameters (Å, degrees): 4.446 4.446 4.446 60.00 60.00 60.00
Element x y z (fractional)
Os1 0.000 0.000 0.000
K1 0.750 0.750 0.750
Be1 0.250 0.250 0.250

Computed properties:
**DFT total energy**: -3.340 eV per atom
**Crystal system**: cubic
**Calculated density**: 6.37 g cm⁻³
**Energy relative to the lowest polymorph listed for this composition**: 0.39 eV per formula unit